(1)
Material: ScSb2W
Method: DFT, PBE
State: optimized geometry

```
data_ScSb2W
_cell_length_a 3.374
_cell_length_b 3.374
_cell_length_c 7.255
_cell_angle_alpha 90.00
_cell_angle_beta 90.00
_cell_angle_gamma 90.00
_space_group_name_H-M_alt 'P 4/m m m'
_space_group_IT_number 123
_space_group_name_Hall '-P 4 2'
loop_
_atom_site_label
_atom_site_type_symbol
_atom_site_fract_x
_atom_site_fract_y
_atom_site_fract_z
Sc1 Sc 0.000 0.000 0.000
Sb1 Sb 0.500 0.500 0.276
W1 W 0.000 0.000 0.500
```

=====

(2)
Material: ScSb2W
Method: DFT, PBE
State: optimized geometry

```
data_ScSb2W
_cell_length_a 3.3139
_cell_length_b 3.3139
_cell_length_c 28.9746
_cell_angle_alpha 90.00
_cell_angle_beta 90.00
_cell_angle_gamma 120.00
_space_group_name_H-M_alt 'R 3 m'
_space_group_IT_number 160
_space_group_name_Hall 'R 3 -2"'
loop_
_atom_site_label
_atom_site_type_symbol
_atom_site_fract_x
_atom_site_fract_y
_atom_site_fract_z
Sc1 Sc 0.0000 0.0000 0.0000
Sb1 Sb 0.0000 0.0000 0.2493
Sb2 Sb 0.0000 0.0000 0.4761
W1 W 0.0000 0.0000 0.7406
```

=====

(3)
Material: ScSb2W
Method: DFT, PBE
State: optimized geometry

```
data_ScSb2W
_cell_length_a 3.747
_cell_length_b 4.880
_cell_length_c 10.422
_cell_angle_alpha 90.00
_cell_angle_beta 90.00
_cell_angle_gamma 90.00
_space_group_name_H-M_alt 'C m m 2'
_space_group_IT_number 35
_space_group_name_Hall 'C 2 -2'
loop_
_atom_site_label
_atom_site_type_symbol
_atom_site_fract_x
_atom_site_fract_y
_atom_site_fract_z
Sc1 Sc 0.000 0.000 0.000
Sb1 Sb 0.000 0.000 0.407
Sb2 Sb 0.000 0.500 0.771
W1 W 0.000 0.500 0.208
```

=====

Which structure above is the least stable one? (2) is the least stable one.